## AlCo2Ru (PBE-GGA)

Data for a relaxed structure of AlCo2Ru.

Computed properties:
Formation energy from the elements (eV/atom): -0.186
Raw total energy (eV/cell): -28.0

a = 2.951 Å, b = 4.046 Å, c = 4.170 Å
α = 90.00°, β = 90.00°, γ = 90.00°
Fractional positions:
Al  0.000  0.000  0.000
Co  0.000  0.500  0.500
Co  0.500  0.000  0.500
Ru  0.500  0.500  0.000